First-principles (PBE with a Hubbard U) data for a relaxed RbAcCoO3 crystal, as listed in the Alexandria database.

POSCAR file:
```
RbAcCoO3
1.0
6.846 -2.079 0.000
6.846 2.079 0.000
-2.142 0.000 7.618
Rb Ac Co O
2 2 2 6
Direct
0.140 0.140 0.065
0.860 0.860 0.935
0.148 0.148 0.583
0.852 0.852 0.417
0.492 0.492 0.716
0.508 0.508 0.284
0.009 0.009 0.305
0.343 0.343 0.627
0.361 0.361 0.227
0.639 0.639 0.773
0.657 0.657 0.373
0.991 0.991 0.695
```

total DFT energy (no corrections) = -74.2 eV for the cell shown
crystal system = monoclinic